CsBe2CoF8 | GGA+U | relaxed

Calculated values
Density of states at the Fermi level in states/eV per cell: 6.07
Total energy in eV/atom: -5.10

abc: 4.9514 4.9514 9.0806
angles: 74.18 74.18 60.00
Fractional positions:
Cs 0.5000 0.5000 0.5000
Be 0.2677 0.2677 0.1970
Be 0.7323 0.7323 0.8030
Co 0.0000 0.0000 0.0000
F 0.2096 0.2096 0.3711
F 0.6123 0.2366 0.1313
F 0.7904 0.7904 0.6289
F 0.0197 0.6123 0.1313
F 0.9803 0.3877 0.8687
F 0.2366 0.0197 0.1313
F 0.7634 0.9803 0.8687
F 0.3877 0.7634 0.8687